(1)
Material: CsTlHg2S4
Method: DFT, GGA-PBE
State: relaxed

Results
total magnetic moment = 0.0 μB/cell
uncorrected energy = -23.57 eV for the cell shown
symmetry = I222, No. 23
DOS at the Fermi energy = 0.00 states/eV per atom
uncorrected formation energy = -0.404 eV/atom

Geometry as POSCAR:
```
CsTlHg2S4
1.0
6.7822 0.0000 0.0000
3.3911 6.2337 -0.7237
3.3911 -0.0290 6.2755
Hg Tl S Cs
2 1 4 1
direct
0.5000 0.3240 0.6760
0.5000 0.6760 0.3240
0.0000 0.5000 0.5000
0.3916 0.1625 0.4959
0.0501 0.8375 0.5041
0.9499 0.4959 0.1625
0.6084 0.5041 0.8375
0.0000 0.0000 0.0000
```

(2)
Material: Cs2TlHgS
Method: DFT, GGA-PBE
State: relaxed

Results
total magnetic moment = 0.0 μB/cell
uncorrected energy = -10.33 eV for the cell shown
symmetry = P4/mmm, No. 123
DOS at the Fermi energy = 1.03 states/eV per atom
uncorrected formation energy = -0.366 eV/atom

Geometry as POSCAR:
```
Cs2TlHgS
1.0
-0.6282 2.8464 6.0304
-6.6652 -0.0813 -0.6559
-0.1849 -5.4521 2.5542
Hg Cs Tl S
1 2 1 1
direct
0.5000 0.5000 0.5000
0.5000 0.0000 0.0000
0.0000 0.5000 0.0000
0.0000 0.0000 0.5000
0.0000 0.0000 0.0000
```

(3)
Material: CsUHgS3
Method: DFT, GGA-PBE
State: relaxed

Results
total magnetic moment = 2.0 μB/cell
uncorrected energy = -60.95 eV for the cell shown
symmetry = C2/c, No. 15
DOS at the Fermi energy = 1.06 states/eV per atom
uncorrected formation energy = -0.941 eV/atom

Geometry as POSCAR:
```
CsUHgS3
1.0
7.0212 0.2797 0.0000
1.8785 7.2803 0.0000
0.9393 3.6401 8.6076
U Cs S Hg
2 2 6 2
direct
0.7500 0.0512 0.8976
0.2500 0.9488 0.1024
0.2500 0.2497 0.5007
0.7500 0.7503 0.4993
0.5054 0.8421 0.9109
0.0054 0.7530 0.0891
0.9946 0.2470 0.9109
0.7500 0.1942 0.6116
0.4946 0.1579 0.0891
0.2500 0.8058 0.3884
0.2500 0.6073 0.7854
0.7500 0.3927 0.2146
```

(4)
Material: Cs3U3HgS8
Method: DFT, GGA-PBE
State: relaxed

Results
total magnetic moment = 6.7 μB/cell
uncorrected energy = -87.62 eV for the cell shown
symmetry = R-3m, No. 166
DOS at the Fermi energy = 0.97 states/eV per atom
uncorrected formation energy = -1.191 eV/atom

Geometry as POSCAR:
```
Cs3U3HgS8
1.0
8.1896 -0.0003 0.0002
-4.0950 7.0920 -0.0289
0.0003 -4.6946 8.1195
S Hg Cs U
8 1 3 3
direct
0.7269 0.4538 0.6807
0.2731 0.5462 0.3193
0.2383 0.4765 0.6801
0.2383 0.9418 0.6802
0.7617 0.0582 0.3198
0.2965 0.0582 0.3198
0.7035 0.9418 0.6802
0.7617 0.5235 0.3199
0.0000 0.0000 0.5000
0.0000 0.5000 0.0000
0.0000 0.0000 0.0000
0.5000 0.5000 0.0000
0.0000 0.5000 0.5000
0.5000 0.5000 0.5000
0.5000 0.0000 0.5000
```

(5)
Material: Cs3UHg2S6
Method: DFT, GGA-PBE
State: relaxed

Results
total magnetic moment = 1.0 μB/cell
uncorrected energy = -49.66 eV for the cell shown
symmetry = P-3m1, No. 164
DOS at the Fermi energy = 0.38 states/eV per atom
uncorrected formation energy = -0.871 eV/atom

Geometry as POSCAR:
```
Cs3UHg2S6
1.0
-5.6861 0.6790 5.2643
7.3013 -1.3562 2.3145
1.5104 8.9464 0.4776
S Cs U Hg
6 3 1 2
direct
0.8495 0.1505 0.6855
0.3010 0.1505 0.6855
0.6990 0.8495 0.3145
0.1505 0.8495 0.3145
0.1505 0.3010 0.3145
0.8495 0.6990 0.6855
0.0000 0.0000 0.0000
0.6667 0.3333 0.2868
0.3333 0.6667 0.7132
0.0000 0.0000 0.5000
0.6667 0.3333 0.6769
0.3333 0.6667 0.3231
```

(6)
Material: Cs2UHgS6
Method: DFT, GGA-PBE
State: relaxed

Results
total magnetic moment = 3.2 μB/cell
uncorrected energy = -90.79 eV for the cell shown
symmetry = I4/mmm, No. 139
DOS at the Fermi energy = 0.81 states/eV per atom
uncorrected formation energy = -0.733 eV/atom

Geometry as POSCAR:
```
Cs2UHgS6
1.0
7.8468 0.0000 -0.0285
0.0000 7.8493 0.0000
0.0403 0.0000 10.0522
Cs S Hg U
4 12 2 2
direct
0.0000 0.0000 0.2500
0.5000 0.5000 0.2500
0.0000 0.0000 0.7500
0.5000 0.5000 0.7500
0.5004 0.9999 0.2426
0.7749 0.2749 0.9998
0.7251 0.7749 0.5002
0.7749 0.7251 0.9999
0.0004 0.5001 0.7426
0.4996 0.0001 0.7574
0.2749 0.2251 0.4998
0.9996 0.4999 0.2574
0.2251 0.2749 0.0001
0.2749 0.7749 0.4999
0.7251 0.2251 0.5001
0.2251 0.7251 0.0002
0.5000 0.0000 0.0000
0.0000 0.5000 0.5000
0.0000 0.5000 0.0000
0.5000 0.0000 0.5000
```